VASP calculation (PBE with a Hubbard U) on a relaxed structure of ThPaCo2O8.

Total DFT energy (no corrections) = -94.65 eV per cell

Lattice parameters (Å, degrees): 6.048 6.048 6.048 107.42 107.42 113.65
Fractional positions:
Th 0.000 0.000 0.000
Pa 0.250 0.750 0.500
Co 0.500 0.500 0.000
Co 0.750 0.250 0.500
O 0.311 0.117 0.806
O 0.311 0.506 0.194
O 0.383 0.062 0.321
O 0.494 0.689 0.806
O 0.742 0.062 0.679
O 0.883 0.689 0.194
O 0.938 0.258 0.321
O 0.938 0.617 0.679